The following is a PBEsol calculation of an optimized crystal structure of Si5Pt12, from Alexandria.

Properties
- magnetization (μB per cell) = 0.0
- formation energy (no corrections) (eV/atom) = -0.624

Cell: 13.3916 13.3916 5.5215 Å, 90.00 90.00 90.00°
Last column: nearest neighbours and their distance in Å.
Fractional coordinates of all 68 atoms:
Si 0.0570 0.1364 0.0721  6 Pt 2.36-2.54
Si 0.0635 0.6345 0.5107  8 Pt 2.40-2.65
Si 0.1345 0.9365 0.4893  8 Pt 2.40-2.65
Si 0.1364 0.4430 0.0721  6 Pt 2.36-2.54
Si 0.2500 0.2500 0.5611  8 Pt 2.42-2.45
Si 0.2500 0.7500 0.0000  8 Pt 2.40-2.56
Si 0.3636 0.0570 0.0721  6 Pt 2.36-2.54
Si 0.3655 0.5635 0.4893  8 Pt 2.40-2.65
Si 0.4365 0.8655 0.5107  8 Pt 2.40-2.65
Si 0.4430 0.3636 0.0721  6 Pt 2.36-2.54
Si 0.5570 0.6364 0.9279  6 Pt 2.36-2.54
Si 0.5635 0.1345 0.4893  8 Pt 2.40-2.65
Si 0.6345 0.4365 0.5107  8 Pt 2.40-2.65
Si 0.6364 0.9430 0.9279  6 Pt 2.36-2.54
Si 0.7500 0.2500 0.0000  8 Pt 2.40-2.56
Si 0.7500 0.7500 0.4389  8 Pt 2.42-2.45
Si 0.8636 0.5570 0.9279  6 Pt 2.36-2.54
Si 0.8655 0.0635 0.5107  8 Pt 2.40-2.65
Si 0.9365 0.3655 0.4893  8 Pt 2.40-2.65
Si 0.9430 0.8636 0.9279  6 Pt 2.36-2.54
Pt 0.0369 0.5970 0.9675  3 Si 2.39-2.60
Pt 0.0417 0.0851 0.5982  3 Si 2.42-2.71
Pt 0.0851 0.4583 0.5982  3 Si 2.42-2.71
Pt 0.0953 0.7862 0.7433  4 Si 2.44-2.56
Pt 0.0970 0.9631 0.0325  3 Si 2.39-2.60
Pt 0.1021 0.2850 0.3131  4 Si 2.45-2.65
Pt 0.1030 0.2692 0.8129  2 Si 2.36-2.42
Pt 0.1033 0.7706 0.2439  3 Si 2.40-2.64
Pt 0.2138 0.5953 0.2567  4 Si 2.44-2.56
Pt 0.2150 0.1021 0.3131  4 Si 2.45-2.65
Pt 0.2294 0.6033 0.7561  3 Si 2.40-2.64
Pt 0.2308 0.1030 0.8129  2 Si 2.36-2.42
Pt 0.2692 0.3970 0.8129  2 Si 2.36-2.42
Pt 0.2706 0.8967 0.7561  3 Si 2.40-2.64
Pt 0.2850 0.3979 0.3131  4 Si 2.45-2.65
Pt 0.2862 0.9047 0.2567  4 Si 2.44-2.56
Pt 0.3970 0.2308 0.8129  2 Si 2.36-2.42
Pt 0.3967 0.7294 0.2439  3 Si 2.40-2.64
Pt 0.3979 0.2150 0.3131  4 Si 2.45-2.65
Pt 0.4030 0.5369 0.0325  3 Si 2.39-2.60
Pt 0.4047 0.7138 0.7433  4 Si 2.44-2.56
Pt 0.4149 0.0417 0.5982  3 Si 2.42-2.71
Pt 0.4583 0.4149 0.5982  3 Si 2.42-2.71
Pt 0.4631 0.9030 0.9675  3 Si 2.39-2.60
Pt 0.5369 0.0970 0.0325  3 Si 2.39-2.60
Pt 0.5417 0.5851 0.4018  3 Si 2.42-2.71
Pt 0.5851 0.9583 0.4018  3 Si 2.42-2.71
Pt 0.5953 0.2862 0.2567  4 Si 2.44-2.56
Pt 0.5970 0.4631 0.9675  3 Si 2.39-2.60
Pt 0.6021 0.7850 0.6869  4 Si 2.45-2.65
Pt 0.6033 0.2706 0.7561  3 Si 2.40-2.64
Pt 0.6030 0.7692 0.1871  2 Si 2.36-2.42
Pt 0.7138 0.0953 0.7433  4 Si 2.44-2.56
Pt 0.7150 0.6021 0.6869  4 Si 2.45-2.65
Pt 0.7294 0.1033 0.2439  3 Si 2.40-2.64
Pt 0.7308 0.6030 0.1871  2 Si 2.36-2.42
Pt 0.7692 0.8970 0.1871  2 Si 2.36-2.42
Pt 0.7706 0.3967 0.2439  3 Si 2.40-2.64
Pt 0.7850 0.8979 0.6869  4 Si 2.45-2.65
Pt 0.7862 0.4047 0.7433  4 Si 2.44-2.56
Pt 0.8967 0.2294 0.7561  3 Si 2.40-2.64
Pt 0.8970 0.7308 0.1871  2 Si 2.36-2.42
Pt 0.8979 0.7150 0.6869  4 Si 2.45-2.65
Pt 0.9030 0.0369 0.9675  3 Si 2.39-2.60
Pt 0.9047 0.2138 0.2567  4 Si 2.44-2.56
Pt 0.9149 0.5417 0.4018  3 Si 2.42-2.71
Pt 0.9583 0.9149 0.4018  3 Si 2.42-2.71
Pt 0.9631 0.4030 0.0325  3 Si 2.39-2.60


The following is a PBEsol calculation of an optimized crystal structure of RbZr3Hg, from Alexandria.

Properties
- energy of formation (eV/atom) = 1.86
- magnetization (μB per cell) = 0.0

Cell: 4.9350 4.9350 4.9350 Å, 90.00 90.00 90.00°
Last column: nearest neighbours and their distance in Å.
Fractional coordinates of all 5 atoms:
Rb 0.0000 0.0000 0.0000  6 Zr 2.47
Zr 0.0000 0.0000 0.5000  2 Rb 2.47
Zr 0.0000 0.5000 0.0000  2 Rb 2.47
Zr 0.5000 0.0000 0.0000  2 Rb 2.47
Hg 0.5000 0.5000 0.5000  12 Zr 3.49


The following is a PBEsol calculation of an optimized crystal structure of TcSb2Au, from Alexandria.

Properties
- magnetization (μB per cell) = 0.0
- formation energy (no corrections) (eV/atom) = 0.104

Cell: 8.3747 8.3747 8.3747 Å, 22.99 22.99 22.99°
Last column: nearest neighbours and their distance in Å.
Fractional coordinates of all 4 atoms:
Tc 0.0000 0.0000 0.0000  6 Sb 2.70
Sb 0.2559 0.2559 0.2559  3 Tc 2.70, 3 Au 2.91
Sb 0.7441 0.7441 0.7441  3 Tc 2.70, 3 Au 2.91
Au 0.5000 0.5000 0.5000  6 Sb 2.91


The following is a PBEsol calculation of an optimized crystal structure of RbLi2Ir, from Alexandria.

Properties
- energy of formation (eV/atom) = 0.58
- magnetization (μB per cell) = 0.0

Cell: 4.7414 4.7414 4.7414 Å, 60.00 60.00 60.00°
Last column: nearest neighbours and their distance in Å.
Fractional coordinates of all 4 atoms:
Rb 0.0000 0.0000 0.0000  8 Li 2.90
Li 0.2500 0.2500 0.2500  4 Ir 2.90, 4 Rb 2.90
Li 0.7500 0.7500 0.7500  4 Ir 2.90, 4 Rb 2.90
Ir 0.5000 0.5000 0.5000  8 Li 2.90


The following is a PBEsol calculation of an optimized crystal structure of Ba3PPt, from Alexandria.

Properties
- energy of formation (eV/atom) = -0.31
- magnetization (μB per cell) = 0.0

Cell: 5.8571 5.8571 5.8571 Å, 90.00 90.00 90.00°
Last column: nearest neighbours and their distance in Å.
Fractional coordinates of all 5 atoms:
Ba 0.0000 0.0000 0.5000  2 Pt 2.93
Ba 0.0000 0.5000 0.0000  2 Pt 2.93
Ba 0.5000 0.0000 0.0000  2 Pt 2.93
P 0.5000 0.5000 0.5000  12 Ba 4.14
Pt 0.0000 0.0000 0.0000  6 Ba 2.93


The following is a PBEsol calculation of an optimized crystal structure of Zr2FeAs, from Alexandria.

Properties
- energy of formation (eV/atom) = -0.41
- magnetization (μB per cell) = 1.5

Cell: 4.8032 4.8032 4.8032 Å, 127.68 127.68 77.14°
Last column: nearest neighbours and their distance in Å.
Fractional coordinates of all 4 atoms:
Zr 0.2500 0.7500 0.5000  4 As 2.83, 4 Fe 2.83, 4 Zr 2.99
Zr 0.7500 0.2500 0.5000  4 As 2.83, 4 Fe 2.83, 4 Zr 2.99
Fe 0.0000 0.0000 0.0000  8 Zr 2.83, 4 As 2.99
As 0.5000 0.5000 0.0000  8 Zr 2.83, 4 Fe 2.99


The following is a PBEsol calculation of an optimized crystal structure of Cd2In2Pb, from Alexandria.

Properties
- energy of formation (eV/atom) = 0.09
- magnetization (μB per cell) = 0.0

Cell: 7.2321 7.2321 7.2321 Å, 144.32 144.32 51.34°
Last column: nearest neighbours and their distance in Å.
Fractional coordinates of all 5 atoms:
Cd 0.2500 0.7500 0.5000  4 In 2.90, 4 Cd 3.13
Cd 0.7500 0.2500 0.5000  4 In 2.90, 4 Cd 3.13
In 0.1061 0.1061 0.0000  1 In 2.77, 4 Cd 2.90
In 0.8939 0.8939 0.0000  1 In 2.77, 4 Cd 2.90
Pb 0.5000 0.5000 0.0000  8 In 3.43


The following is a PBEsol calculation of an optimized crystal structure of ScBeFe, from Alexandria.

Properties
- energy of formation (eV/atom) = 0.00
- magnetization (μB per cell) = 0.0

Cell: 3.7421 3.7421 3.2694 Å, 90.00 90.00 120.00°
Last column: nearest neighbours and their distance in Å.
Fractional coordinates of all 3 atoms:
Sc 0.0000 0.0000 0.0000  6 Fe 2.71, 6 Be 2.71
Be 0.3333 0.6667 0.5000  3 Fe 2.16
Fe 0.6667 0.3333 0.5000  3 Be 2.16


| no. | total energy (eV for the cell shown) |
| --- | --- |
| 1 | -491.6 |
| 2 | -19.6 |
| 3 | -23.9 |
| 4 | -12.4 |
| 5 | -20.7 |
| 6 | -33.9 |
| 7 | -11.9 |
| 8 | -19.6 |